# NaLa2GaSe5

Crystalline NaLa2GaSe5 at its relaxed geometry (PBE, the Alexandria database).

Mass density   5.45 Mg/m³
Formation energy without anion corrections   -34.48 kcal/mol of atoms
Space group   Cmc2_1

a b c (Å): 4.1248 9.4534 12.2505
angles (deg): 90.00 90.00 102.60
Positions (direct):
Na (0.7922, 0.5844, 0.5159)
Na (0.2078, 0.4156, 0.0159)
La (0.8678, 0.7356, 0.8103)
La (0.1182, 0.2364, 0.6823)
La (0.1322, 0.2644, 0.3103)
La (0.8818, 0.7636, 0.1823)
Ga (0.5617, 0.1234, 0.9465)
Ga (0.4383, 0.8766, 0.4465)
Se (0.3623, 0.7245, 0.0022)
Se (0.6777, 0.3554, 0.8495)
Se (0.4958, 0.9917, 0.7738)
Se (0.2895, 0.5791, 0.6848)
Se (0.9578, 0.9156, 0.5588)
Se (0.6377, 0.2755, 0.5022)
Se (0.3223, 0.6446, 0.3495)
Se (0.5042, 0.0083, 0.2738)
Se (0.7105, 0.4209, 0.1848)
Se (0.0422, 0.0844, 0.0588)